[1]
{
  "formula": "RbCe2MgCl8",
  "functional": "PBE",
  "state": "optimized geometry",
  "total_magnetization_mub_per_fu": 3.00,
  "sg": "P-1, No. 2",
  "raw_formation_energy_ev_per_atom": -1.99,
  "lattice": [[6.5229, 0.0000, 0.0000], [-0.3202, 6.7170, 0.0000], [-0.0539, -0.0130, 8.6792]],
  "species": ["Rb", "Ce", "Ce", "Mg", "Cl", "Cl", "Cl", "Cl", "Cl", "Cl", "Cl", "Cl"],
  "fractional_positions": [[0.0000, 0.0000, 0.0000], [0.4993, 0.5004, 0.7284], [0.5007, 0.4996, 0.2716], [0.0000, 0.0000, 0.5000], [0.2202, 0.1702, 0.3006], [0.2225, 0.1665, 0.7018], [0.2566, 0.6926, 0.4986], [0.2884, 0.6306, 0.9993], [0.7116, 0.3694, 0.0007], [0.7434, 0.3074, 0.5014], [0.7775, 0.8335, 0.2982], [0.7798, 0.8298, 0.6994]]
}

[2]
{
  "formula": "RbCeMgCl6",
  "functional": "PBE",
  "state": "optimized geometry",
  "total_magnetization_mub_per_fu": 1.00,
  "sg": "P-31c, No. 163",
  "raw_formation_energy_ev_per_atom": -2.05,
  "lattice": [[6.9823, 0.0000, 0.0000], [-3.4911, 6.0468, 0.0000], [0.0000, 0.0000, 14.3936]],
  "species": ["Rb", "Rb", "Ce", "Ce", "Mg", "Mg", "Cl", "Cl", "Cl", "Cl", "Cl", "Cl", "Cl", "Cl", "Cl", "Cl", "Cl", "Cl"],
  "fractional_positions": [[0.0000, 0.0000, 0.0000], [0.0000, 0.0000, 0.5000], [0.3333, 0.6667, 0.2500], [0.6667, 0.3333, 0.7500], [0.3333, 0.6667, 0.7500], [0.6667, 0.3333, 0.2500], [0.0252, 0.3860, 0.6466], [0.0252, 0.6392, 0.8534], [0.3608, 0.3860, 0.8534], [0.3608, 0.9748, 0.6466], [0.3860, 0.0252, 0.1466], [0.3860, 0.3608, 0.3534], [0.6140, 0.6392, 0.6466], [0.6140, 0.9748, 0.8534], [0.6392, 0.0252, 0.3534], [0.6392, 0.6140, 0.1466], [0.9748, 0.3608, 0.1466], [0.9748, 0.6140, 0.3534]]
}

[3]
{
  "formula": "Rb2CeMgCl6",
  "functional": "PBE",
  "state": "optimized geometry",
  "total_magnetization_mub_per_fu": 1.91,
  "sg": "Pmmn, No. 59",
  "raw_formation_energy_ev_per_atom": -1.85,
  "lattice": [[7.3525, 0.0000, 0.0000], [0.0000, 10.7315, 0.0000], [0.0000, 0.0000, 7.8726]],
  "species": ["Rb", "Rb", "Rb", "Rb", "Ce", "Ce", "Mg", "Mg", "Cl", "Cl", "Cl", "Cl", "Cl", "Cl", "Cl", "Cl", "Cl", "Cl", "Cl", "Cl"],
  "fractional_positions": [[0.2500, 0.0115, 0.2347], [0.2500, 0.4885, 0.2347], [0.7500, 0.5115, 0.7653], [0.7500, 0.9885, 0.7653], [0.2500, 0.2500, 0.7407], [0.7500, 0.7500, 0.2593], [0.2500, 0.7500, 0.7565], [0.7500, 0.2500, 0.2435], [0.0051, 0.7500, 0.5332], [0.0082, 0.7500, 0.9855], [0.2500, 0.5139, 0.7589], [0.2500, 0.9861, 0.7589], [0.4918, 0.7500, 0.9855], [0.4949, 0.7500, 0.5332], [0.5051, 0.2500, 0.4668], [0.5082, 0.2500, 0.0145], [0.7500, 0.0139, 0.2411], [0.7500, 0.4861, 0.2411], [0.9918, 0.2500, 0.0145], [0.9949, 0.2500, 0.4668]]
}

[4]
{
  "formula": "CeMgTlCl6",
  "functional": "PBE",
  "state": "optimized geometry",
  "total_magnetization_mub_per_fu": 1.00,
  "sg": "P-31c, No. 163",
  "raw_formation_energy_ev_per_atom": -1.83,
  "lattice": [[6.9780, 0.0000, 0.0000], [-3.4890, 6.0431, 0.0000], [0.0000, 0.0000, 13.8992]],
  "species": ["Ce", "Ce", "Mg", "Mg", "Tl", "Tl", "Cl", "Cl", "Cl", "Cl", "Cl", "Cl", "Cl", "Cl", "Cl", "Cl", "Cl", "Cl"],
  "fractional_positions": [[0.3333, 0.6667, 0.2500], [0.6667, 0.3333, 0.7500], [0.3333, 0.6667, 0.7500], [0.6667, 0.3333, 0.2500], [0.0000, 0.0000, 0.0000], [0.0000, 0.0000, 0.5000], [0.0254, 0.3841, 0.6434], [0.0254, 0.6413, 0.8566], [0.3587, 0.3841, 0.8566], [0.3587, 0.9746, 0.6434], [0.3841, 0.0254, 0.1434], [0.3841, 0.3587, 0.3566], [0.6159, 0.6413, 0.6434], [0.6159, 0.9746, 0.8566], [0.6413, 0.0254, 0.3566], [0.6413, 0.6159, 0.1434], [0.9746, 0.3587, 0.1434], [0.9746, 0.6159, 0.3566]]
}